Record 1
# Rb2Ti4O9, optimized geometry, DFT PBE
data_Rb2Ti4O9
_chemical_formula_sum 'Rb8 Ti16 O36'
_space_group_name_H-M_alt 'C 1 2/m 1'
_space_group_IT_number 12
_cell_length_a 19.4770
_cell_length_b 3.8300
_cell_length_c 12.1846
_cell_angle_alpha 90.00
_cell_angle_beta 107.09
_cell_angle_gamma 90.00
loop_
_space_group_symop_operation_xyz
'x,y,z'
'-x,-y,-z'
'-x,y,-z'
'x,-y,z'
'x+1/2,y+1/2,z'
'-x+1/2,-y+1/2,-z'
'-x+1/2,y+1/2,-z'
'x+1/2,-y+1/2,z'
loop_
_atom_site_label
_atom_site_type_symbol
_atom_site_fract_x
_atom_site_fract_y
_atom_site_fract_z
Rb1 Rb 0.0186 0.0000 0.3340
Rb2 Rb 0.0852 0.0000 0.0819
Ti1 Ti 0.1280 0.5000 0.8594
Ti2 Ti 0.1663 0.5000 0.6233
Ti3 Ti 0.2050 0.5000 0.3962
Ti4 Ti 0.2462 0.5000 0.1663
O1 O 0.0427 0.5000 0.8764
O2 O 0.0920 0.5000 0.6809
O3 O 0.1279 0.5000 0.4612
O4 O 0.1552 0.0000 0.8557
O5 O 0.1658 0.5000 0.2427
O6 O 0.1858 0.5000 0.0261
O7 O 0.1945 0.0000 0.6405
O8 O 0.2306 0.0000 0.4214
O9 O 0.2339 0.5000 0.8001
# Spin magnetization, μB per formula unit: 0.00
# Formation energy without anion corrections, eV/f.u.: -42.46
# ρ, Mg/m³: 3.9
# Uncorrected energy, eV/cell: -482.40


Record 2
# Sn3OsO, optimized geometry, DFT PBE
data_Sn3OsO
_chemical_formula_sum 'Sn3 Os1 O1'
_space_group_name_H-M_alt 'P m -3 m'
_space_group_IT_number 221
_space_group_name_Hall '-P 4 2 3'
_cell_length_a 5.0517
_cell_length_b 5.0517
_cell_length_c 5.0517
_cell_angle_alpha 90.00
_cell_angle_beta 90.00
_cell_angle_gamma 90.00
loop_
_atom_site_label
_atom_site_type_symbol
_atom_site_fract_x
_atom_site_fract_y
_atom_site_fract_z
Sn1 Sn 0.0000 0.0000 0.5000
Os1 Os 0.0000 0.0000 0.0000
O1 O 0.5000 0.5000 0.5000
# Spin magnetization, μB per formula unit: 0.00
# Formation energy without anion corrections, eV/f.u.: 1.43
# ρ, Mg/m³: 7.2
# ΔE to the lowest computed polymorph, eV/atom: 0.000
# Uncorrected energy, eV/cell: -26.77


Record 3
# Tl2Hg5H2, optimized geometry, DFT PBE
data_Tl2Hg5H2
_chemical_formula_sum 'Tl8 Hg20 H8'
_space_group_name_H-M_alt 'C 1 2 1'
_space_group_IT_number 5
_cell_length_a 19.9852
_cell_length_b 3.4233
_cell_length_c 13.9044
_cell_angle_alpha 90.00
_cell_angle_beta 115.94
_cell_angle_gamma 90.00
loop_
_space_group_symop_operation_xyz
'x,y,z'
'-x,y,-z'
'x+1/2,y+1/2,z'
'-x+1/2,y+1/2,-z'
loop_
_atom_site_label
_atom_site_type_symbol
_atom_site_fract_x
_atom_site_fract_y
_atom_site_fract_z
Tl1 Tl 0.0000 0.0000 0.0000
Tl2 Tl 0.0000 0.0275 0.5000
Tl3 Tl 0.0050 0.4830 0.7658
Hg1 Hg 0.1507 0.5042 0.6424
Hg2 Hg 0.1543 0.5215 0.0287
Hg3 Hg 0.1703 0.6192 0.4395
Hg4 Hg 0.1737 0.0131 0.8469
Hg5 Hg 0.1873 0.0812 0.2519
H1 H 0.0175 0.0302 0.3478
H2 H 0.0843 0.1534 0.1974
# Spin magnetization, μB per formula unit: 0.00
# ρ, Mg/m³: 11.0
# Uncorrected energy, eV/cell: -45.34


Record 4
# Na4Tb3TlO8, optimized geometry, DFT PBE
data_Na4Tb3TlO8
_chemical_formula_sum 'Na12 Tb9 Tl3 O24'
_space_group_name_H-M_alt 'R -3 m'
_space_group_IT_number 166
_space_group_name_Hall '-R 3 2"'
_cell_length_a 6.8628
_cell_length_b 6.8628
_cell_length_c 16.8840
_cell_angle_alpha 90.00
_cell_angle_beta 90.00
_cell_angle_gamma 120.00
loop_
_atom_site_label
_atom_site_type_symbol
_atom_site_fract_x
_atom_site_fract_y
_atom_site_fract_z
Na1 Na 0.0000 0.0000 0.0000
Na2 Na 0.0000 0.5000 0.0000
Tb1 Tb 0.0000 0.5000 0.5000
Tl1 Tl 0.0000 0.0000 0.5000
O1 O 0.0000 0.0000 0.2361
O2 O 0.0056 0.5028 0.7598
# Spin magnetization, μB per formula unit: 0.00
# Formation energy without anion corrections, eV/f.u.: -37.36
# ρ, Mg/m³: 6.5
# Uncorrected energy, eV/cell: -295.68


Record 5
# NaOs3W, optimized geometry, DFT PBE
data_NaOs3W
_chemical_formula_sum 'Na1 Os3 W1'
_space_group_name_H-M_alt 'P m -3 m'
_space_group_IT_number 221
_space_group_name_Hall '-P 4 2 3'
_cell_length_a 4.7807
_cell_length_b 4.7807
_cell_length_c 4.7807
_cell_angle_alpha 90.00
_cell_angle_beta 90.00
_cell_angle_gamma 90.00
loop_
_atom_site_label
_atom_site_type_symbol
_atom_site_fract_x
_atom_site_fract_y
_atom_site_fract_z
Na1 Na 0.0000 0.0000 0.0000
Os1 Os 0.0000 0.5000 0.5000
W1 W 0.5000 0.5000 0.5000
# Spin magnetization, μB per formula unit: 1.36
# ρ, Mg/m³: 11.8
# ΔE to the lowest computed polymorph, eV/atom: 0.000
# Uncorrected energy, eV/cell: -37.97


Record 6
# CsNiI, optimized geometry, DFT PBE
data_CsNiI
_chemical_formula_sum 'Cs4 Ni4 I4'
_space_group_name_H-M_alt 'P n m a'
_space_group_IT_number 62
_cell_length_a 11.5764
_cell_length_b 4.3973
_cell_length_c 7.6188
_cell_angle_alpha 90.00
_cell_angle_beta 90.00
_cell_angle_gamma 90.00
loop_
_space_group_symop_operation_xyz
'x,y,z'
'-x,-y,-z'
'-x+1/2,-y,z+1/2'
'x+1/2,y,-z+1/2'
'x+1/2,-y+1/2,-z+1/2'
'-x+1/2,y+1/2,z+1/2'
'-x,y+1/2,-z'
'x,-y+1/2,z'
loop_
_atom_site_label
_atom_site_type_symbol
_atom_site_fract_x
_atom_site_fract_y
_atom_site_fract_z
Cs1 Cs 0.9999 0.2500 0.2496
Ni1 Ni 0.2499 0.2500 0.5835
I1 I 0.2503 0.2500 0.9168
# Spin magnetization, μB per formula unit: 0.00
# Formation energy without anion corrections, eV/f.u.: -0.70
# ρ, Mg/m³: 5.5
# ΔE to the lowest computed polymorph, eV/atom: 0.108
# Uncorrected energy, eV/cell: -35.54


Record 7
# Pr8HoTm5, optimized geometry, DFT PBE
data_Pr8HoTm5
_chemical_formula_sum 'Pr16 Ho2 Tm10'
_space_group_name_H-M_alt 'I -4'
_space_group_IT_number 82
_cell_length_a 9.7236
_cell_length_b 9.7236
_cell_length_c 10.3208
_cell_angle_alpha 90.00
_cell_angle_beta 90.00
_cell_angle_gamma 90.00
loop_
_space_group_symop_operation_xyz
'x,y,z'
'y,-x,-z'
'-x,-y,z'
'-y,x,-z'
'x+1/2,y+1/2,z+1/2'
'y+1/2,-x+1/2,-z+1/2'
'-x+1/2,-y+1/2,z+1/2'
'-y+1/2,x+1/2,-z+1/2'
loop_
_atom_site_label
_atom_site_type_symbol
_atom_site_fract_x
_atom_site_fract_y
_atom_site_fract_z
Pr1 Pr 0.0678 0.3285 0.4064
Pr2 Pr 0.0904 0.1781 0.7474
Ho1 Ho 0.0000 0.5000 0.7500
Tm1 Tm 0.0000 0.0000 0.5000
Tm2 Tm 0.1084 0.2021 0.0735
# Spin magnetization, μB per formula unit: 0.00
# ρ, Mg/m³: 7.3
# Uncorrected energy, eV/cell: -123.28


Record 8
# ReAsPI2, optimized geometry, DFT PBE
data_ReAsPI2
_chemical_formula_sum 'Re1 As1 P1 I2'
_space_group_name_H-M_alt 'P 4/m m m'
_space_group_IT_number 123
_space_group_name_Hall '-P 4 2'
_cell_length_a 5.5057
_cell_length_b 5.5057
_cell_length_c 4.4709
_cell_angle_alpha 90.00
_cell_angle_beta 90.00
_cell_angle_gamma 90.00
loop_
_atom_site_label
_atom_site_type_symbol
_atom_site_fract_x
_atom_site_fract_y
_atom_site_fract_z
Re1 Re 0.0000 0.0000 0.0000
As1 As 0.5000 0.5000 0.5000
P1 P 0.0000 0.0000 0.5000
I1 I 0.0000 0.5000 0.0000
# Spin magnetization, μB per formula unit: 0.00
# Formation energy without anion corrections, eV/f.u.: 4.52
# ρ, Mg/m³: 6.7
# Uncorrected energy, eV/cell: -21.09